Computed, not measured: K2Zn3Se4O12 at its PBEsol-relaxed geometry at the meta-GGA SCAN level of DFT.

N(E_F): 0.0 states/eV/f.u.
Formation energy from raw total energies: -1363 meV/atom
Magnetization: 0.0 μB/f.u.
Total energy: -11.4720 eV per atom
V: 673 Å³/cell
Space-group type: C2/c

Cell: 7.145 7.145 13.677 Å, 92.42 92.42 74.85°
Fractional coordinates of all 42 atoms:
K1 0.199 0.222 0.481
K2 0.222 0.199 0.981
K3 0.778 0.801 0.019
K4 0.801 0.778 0.519
Zn1 0.006 0.994 0.750
Zn2 0.322 0.624 0.601
Zn3 0.376 0.678 0.899
Zn4 0.624 0.322 0.101
Zn5 0.678 0.376 0.399
Zn6 0.994 0.006 0.250
Se1 0.018 0.584 0.780
Se2 0.284 0.676 0.367
Se3 0.324 0.716 0.133
Se4 0.416 0.982 0.720
Se5 0.584 0.018 0.280
Se6 0.676 0.284 0.867
Se7 0.716 0.324 0.633
Se8 0.982 0.416 0.220
O1 0.078 0.788 0.146
O2 0.080 0.197 0.164
O3 0.087 0.686 0.678
O4 0.181 0.642 0.475
O5 0.197 0.080 0.664
O6 0.212 0.922 0.354
O7 0.231 0.497 0.848
O8 0.314 0.913 0.822
O9 0.352 0.477 0.095
O10 0.358 0.819 0.025
O11 0.477 0.352 0.595
O12 0.497 0.231 0.348
O13 0.503 0.769 0.652
O14 0.523 0.648 0.405
O15 0.642 0.181 0.975
O16 0.648 0.523 0.905
O17 0.686 0.087 0.178
O18 0.769 0.503 0.152
O19 0.788 0.078 0.646
O20 0.803 0.920 0.336
O21 0.819 0.358 0.525
O22 0.913 0.314 0.322
O23 0.920 0.803 0.836
O24 0.922 0.212 0.854